Record 1
This record from the Alexandria database describes a relaxed MnAlNi crystal. The functional is GGA-PBEsol.

ΔH_f (0 K): -0.19 eV per atom

Geometry as CIF:
```
data_MnAlNi
_chemical_formula_sum 'Mn1 Al1 Ni1'
_cell_length_a 2.595
_cell_length_b 4.018
_cell_length_c 4.018
_cell_angle_alpha 120.00
_cell_angle_beta 90.00
_cell_angle_gamma 90.00
_symmetry_space_group_name_H-M 'P 1'
_symmetry_Int_Tables_number 1
loop_
_symmetry_equiv_pos_as_xyz
'x,y,z'
loop_
_atom_site_label
_atom_site_fract_x
_atom_site_fract_y
_atom_site_fract_z
Ni1 0.318 0.333 0.667
Mn1 0.632 0.667 0.333
Al1 0.050 0.000 0.000
```

Record 2
This record from the Alexandria database describes a relaxed MnAlNi2Pd crystal. The functional is GGA-PBEsol.

ΔH_f (0 K): 1.06 eV per atom

Geometry as CIF:
```
data_MnAlNi2Pd
_chemical_formula_sum 'Mn1 Al1 Ni2 Pd1'
_cell_length_a 4.414
_cell_length_b 4.553
_cell_length_c 4.553
_cell_angle_alpha 90.00
_cell_angle_beta 90.00
_cell_angle_gamma 90.00
_symmetry_space_group_name_H-M 'P 1'
_symmetry_Int_Tables_number 1
loop_
_symmetry_equiv_pos_as_xyz
'x,y,z'
loop_
_atom_site_label
_atom_site_fract_x
_atom_site_fract_y
_atom_site_fract_z
Mn1 0.500 0.500 0.500
Ni1 0.000 0.500 0.000
Al1 0.500 0.000 0.000
Pd1 0.000 0.000 0.000
Ni2 0.000 0.000 0.500
```

Number 1: total energy -20.6 eV/f.u.. Number 2: total energy -26.8 eV/f.u..